[1]
A relaxed structure of Li2HgTe. Source: the Alexandria database, functional GGA-PBEsol.

Lattice parameters (Å, degrees): 6.964 6.964 6.964 90.00 90.00 90.00
Sites, in units of the cell vectors:
Li: 0.250 0.250 0.250
Li: 0.250 0.250 0.750
Li: 0.250 0.750 0.250
Li: 0.250 0.750 0.750
Li: 0.750 0.250 0.250
Li: 0.750 0.250 0.750
Li: 0.750 0.750 0.250
Li: 0.750 0.750 0.750
Hg: 0.000 0.000 0.000
Hg: 0.000 0.500 0.500
Hg: 0.500 0.000 0.500
Hg: 0.500 0.500 0.000
Te: 0.000 0.000 0.500
Te: 0.000 0.500 0.000
Te: 0.500 0.000 0.000
Te: 0.500 0.500 0.500

Values from the calculation:
Total DFT energy (no corrections), Ry/atom: -0.1954

=====

[2]
A relaxed structure of LiThHg2. Source: the Alexandria database, functional GGA-PBEsol.

Lattice parameters (Å, degrees): 7.199 7.199 7.199 90.00 90.00 90.00
Sites, in units of the cell vectors:
Li: 0.000 0.000 0.000
Li: 0.000 0.500 0.500
Li: 0.500 0.000 0.500
Li: 0.500 0.500 0.000
Th: 0.000 0.000 0.500
Th: 0.000 0.500 0.000
Th: 0.500 0.000 0.000
Th: 0.500 0.500 0.500
Hg: 0.250 0.250 0.250
Hg: 0.250 0.250 0.750
Hg: 0.250 0.750 0.250
Hg: 0.250 0.750 0.750
Hg: 0.750 0.250 0.250
Hg: 0.750 0.250 0.750
Hg: 0.750 0.750 0.250
Hg: 0.750 0.750 0.750

Values from the calculation:
Total DFT energy (no corrections), Ry/atom: -0.2322

=====

[3]
A relaxed structure of LiTlHg2. Source: the Alexandria database, functional GGA-PBEsol.

Lattice parameters (Å, degrees): 4.661 4.661 8.223 90.00 90.00 90.00
Sites, in units of the cell vectors:
Li: 0.000 0.000 0.000
Li: 0.500 0.500 0.500
Tl: 0.000 0.000 0.500
Tl: 0.500 0.500 0.000
Hg: 0.000 0.500 0.250
Hg: 0.000 0.500 0.750
Hg: 0.500 0.000 0.250
Hg: 0.500 0.000 0.750

Values from the calculation:
Total DFT energy (no corrections), Ry/atom: -0.1193

=====

[4]
A relaxed structure of LiTlHg2. Source: the Alexandria database, functional GGA-PBEsol.

Lattice parameters (Å, degrees): 3.325 3.325 28.174 90.00 90.00 120.00
Sites, in units of the cell vectors:
Li: 0.000 0.000 0.000
Li: 0.333 0.667 0.667
Li: 0.667 0.333 0.333
Tl: 0.000 0.000 0.250
Tl: 0.333 0.667 0.916
Tl: 0.667 0.333 0.583
Hg: 0.000 0.000 0.491
Hg: 0.000 0.000 0.738
Hg: 0.333 0.667 0.158
Hg: 0.333 0.667 0.404
Hg: 0.667 0.333 0.071
Hg: 0.667 0.333 0.825

Values from the calculation:
Total DFT energy (no corrections), Ry/atom: -0.1151

=====

[5]
A relaxed structure of LiTl2Hg2. Source: the Alexandria database, functional GGA-PBEsol.

Lattice parameters (Å, degrees): 7.406 7.406 4.585 90.00 90.00 90.00
Sites, in units of the cell vectors:
Li: 0.000 0.000 0.000
Li: 0.500 0.500 0.000
Tl: 0.170 0.330 0.500
Tl: 0.330 0.830 0.500
Tl: 0.670 0.170 0.500
Tl: 0.830 0.670 0.500
Hg: 0.143 0.643 0.000
Hg: 0.357 0.143 0.000
Hg: 0.643 0.857 0.000
Hg: 0.857 0.357 0.000

Values from the calculation:
Total DFT energy (no corrections), Ry/atom: -0.1296

=====

[6]
A relaxed structure of LiTlHg2. Source: the Alexandria database, functional GGA-PBEsol.

Lattice parameters (Å, degrees): 4.452 4.522 8.770 90.00 90.00 90.00
Sites, in units of the cell vectors:
Li: 0.000 0.000 0.000
Li: 0.500 0.500 0.500
Tl: 0.000 0.500 0.751
Tl: 0.500 0.000 0.251
Hg: 0.000 0.000 0.502
Hg: 0.000 0.500 0.252
Hg: 0.500 0.000 0.752
Hg: 0.500 0.500 0.002

Values from the calculation:
Total DFT energy (no corrections), Ry/atom: -0.1185

=====

[7]
A relaxed structure of LiTlHg2. Source: the Alexandria database, functional GGA-PBEsol.

Lattice parameters (Å, degrees): 7.079 7.079 7.079 90.00 90.00 90.00
Sites, in units of the cell vectors:
Li: 0.000 0.000 0.000
Li: 0.000 0.500 0.500
Li: 0.500 0.000 0.500
Li: 0.500 0.500 0.000
Tl: 0.250 0.250 0.750
Tl: 0.250 0.750 0.250
Tl: 0.750 0.250 0.250
Tl: 0.750 0.750 0.750
Hg: 0.000 0.000 0.500
Hg: 0.000 0.500 0.000
Hg: 0.250 0.250 0.250
Hg: 0.250 0.750 0.750
Hg: 0.500 0.000 0.000
Hg: 0.500 0.500 0.500
Hg: 0.750 0.250 0.750
Hg: 0.750 0.750 0.250

Values from the calculation:
Total DFT energy (no corrections), Ry/atom: -0.1182

=====

[8]
A relaxed structure of LiTlHg2. Source: the Alexandria database, functional GGA-PBEsol.

Lattice parameters (Å, degrees): 3.664 3.664 6.594 90.00 90.00 90.00
Sites, in units of the cell vectors:
Li: 0.000 0.000 0.000
Tl: 0.500 0.500 0.272
Hg: 0.000 0.000 0.547
Hg: 0.500 0.500 0.805

Values from the calculation:
Total DFT energy (no corrections), Ry/atom: -0.1188

=====

[9]
A relaxed structure of LiTlHg2. Source: the Alexandria database, functional GGA-PBEsol.

Lattice parameters (Å, degrees): 3.304 3.304 28.588 90.00 90.00 120.00
Sites, in units of the cell vectors:
Li: 0.000 0.000 0.000
Li: 0.333 0.667 0.667
Li: 0.667 0.333 0.333
Tl: 0.000 0.000 0.500
Tl: 0.333 0.667 0.167
Tl: 0.667 0.333 0.833
Hg: 0.000 0.000 0.261
Hg: 0.000 0.000 0.739
Hg: 0.333 0.667 0.406
Hg: 0.333 0.667 0.927
Hg: 0.667 0.333 0.073
Hg: 0.667 0.333 0.594

Values from the calculation:
Total DFT energy (no corrections), Ry/atom: -0.1177

=====

[10]
A relaxed structure of LiTlHg2. Source: the Alexandria database, functional GGA-PBEsol.

Lattice parameters (Å, degrees): 9.645 3.265 5.830 90.00 101.14 90.00
Sites, in units of the cell vectors:
Li: 0.000 0.000 0.000
Li: 0.500 0.500 0.000
Tl: 0.000 0.500 0.500
Tl: 0.500 0.000 0.500
Hg: 0.235 0.500 0.219
Hg: 0.265 0.000 0.781
Hg: 0.735 0.000 0.219
Hg: 0.765 0.500 0.781

Values from the calculation:
Total DFT energy (no corrections), Ry/atom: -0.1187

=====

[11]
A relaxed structure of LiTlHg2. Source: the Alexandria database, functional GGA-PBEsol.

Lattice parameters (Å, degrees): 3.540 3.609 6.896 90.00 90.00 90.00
Sites, in units of the cell vectors:
Li: 0.000 0.000 0.000
Tl: 0.000 0.000 0.500
Hg: 0.500 0.500 0.215
Hg: 0.500 0.500 0.785

Values from the calculation:
Total DFT energy (no corrections), Ry/atom: -0.1211

=====

[12]
A relaxed structure of LiTlHg2. Source: the Alexandria database, functional GGA-PBEsol.

Lattice parameters (Å, degrees): 7.135 7.135 7.135 90.00 90.00 90.00
Sites, in units of the cell vectors:
Li: 0.000 0.000 0.000
Li: 0.000 0.500 0.500
Li: 0.500 0.000 0.500
Li: 0.500 0.500 0.000
Tl: 0.000 0.000 0.500
Tl: 0.000 0.500 0.000
Tl: 0.500 0.000 0.000
Tl: 0.500 0.500 0.500
Hg: 0.250 0.250 0.250
Hg: 0.250 0.250 0.750
Hg: 0.250 0.750 0.250
Hg: 0.250 0.750 0.750
Hg: 0.750 0.250 0.250
Hg: 0.750 0.250 0.750
Hg: 0.750 0.750 0.250
Hg: 0.750 0.750 0.750

Values from the calculation:
Total DFT energy (no corrections), Ry/atom: -0.1194